# Cr3Ni

Crystalline Cr3Ni at its relaxed geometry (PBE, Alexandria).

- Energy: -8.538 eV per atom
- Fermi-level density of states: 6.57 states/eV/f.u.
- Energy of formation from the pure elements: 0.1244 eV/atom

Unit cell a=2.392 b=4.762 c=4.762 alpha=117.26 beta=80.36 gamma=80.36
Element x y z (fractional)
Cr  0.000  0.000  0.000
Cr  0.500  0.000  0.500
Cr  0.500  0.500  0.000
Ni  0.000  0.500  0.500